{
  "formula": "NiTe2Os",
  "functional": "GGA-PBE",
  "state": "relaxed",
  "lattice_angstrom": [[-1.6087, 2.0407, 6.1102], [1.6087, -2.0407, 6.1102], [1.6087, 2.0407, -6.1102]],
  "species": ["Ni", "Te", "Te", "Os"],
  "frac_coords": [[0.0000, 0.0000, 0.0000], [0.3795, 0.3795, 0.0000], [0.6341, 0.1341, 0.5000], [0.2000, 0.7000, 0.5000]],
  "e_form_raw_ev_per_atom": 0.52,
  "mass_density_g_cm3": 10.4,
  "relative_energy_mev_per_atom": 327
}